Entry 1:
10
Lattice="2.521 1.456 7.097 -2.521 1.456 7.097 0.000 -2.911 7.097" Properties=species:S:1:pos:R:3 comment="MgBPt3 (PBE, optimized geometry)" space_group="R-3 (148)" e_above_lowest_polymorph_kj_per_mol_fu=127.7 pbc="T T T"
Mg 0.000 0.000 3.594
Mg 0.000 0.000 17.696
B 0.000 0.000 7.110
B 0.000 0.000 14.181
Pt -1.713 0.031 8.433
Pt -0.883 -1.468 12.858
Pt 0.830 -1.499 8.433
Pt -0.830 1.499 12.858
Pt 0.883 1.468 8.433
Pt 1.713 -0.031 12.858

Entry 2:
4
Lattice="1.593 0.920 6.738 -1.593 0.920 6.738 0.000 -1.839 6.738" Properties=species:S:1:pos:R:3 comment="MgBPt2 (PBE, optimized geometry)" space_group="R-3m (166)" total_energy_ev_per_atom=-5.43 pbc="T T T"
Mg 0.000 0.000 0.000
B 0.000 0.000 10.107
Pt 0.000 0.000 4.553
Pt 0.000 0.000 15.662

Entry 3:
7
Lattice="3.858 0.000 0.000 0.000 3.858 0.000 0.000 0.000 6.864" Properties=species:S:1:pos:R:3 comment="MgBPt5 (PBE, optimized geometry)" space_group="P4/mmm (123)" total_energy_ev_per_atom=-5.89 pbc="T T T"
Mg 0.000 0.000 0.000
B 1.929 1.929 3.432
Pt 0.000 1.929 2.089
Pt 0.000 1.929 4.775
Pt 1.929 0.000 2.089
Pt 1.929 0.000 4.775
Pt 1.929 1.929 0.000

Entry 4:
10
Lattice="5.094 0.000 0.000 0.000 5.597 0.000 -2.149 0.000 5.183" Properties=species:S:1:pos:R:3 comment="MgBPt3 (PBE, optimized geometry)" space_group="P2_1/m (11)" e_above_lowest_polymorph_kj_per_mol_fu=17.1 pbc="T T T"
Mg -0.568 1.399 1.623
Mg 3.513 4.198 3.561
B 0.707 4.198 2.352
B 2.239 1.399 2.831
Pt -1.465 1.399 4.306
Pt 1.978 2.805 1.255
Pt 1.978 5.591 1.255
Pt 0.968 0.006 3.929
Pt 0.968 2.793 3.929
Pt 4.410 4.198 0.877

Entry 5:
20
Lattice="0.000 5.486 5.486 5.486 0.000 5.486 5.486 5.486 0.000" Properties=species:S:1:pos:R:3 comment="MgBPt3 (PBE, optimized geometry)" space_group="Fd-3m (227)" e_above_lowest_polymorph_kj_per_mol_fu=42.7 pbc="T T T"
Mg 0.000 0.000 0.000
Mg 2.743 2.743 0.000
Mg 2.743 0.000 2.743
Mg 0.000 2.743 2.743
B 5.486 2.743 2.743
B 2.743 5.486 2.743
B 2.743 2.743 5.486
B 5.486 5.486 5.486
Pt 4.114 4.114 1.845
Pt 4.114 1.845 4.114
Pt 6.383 4.114 4.114
Pt 6.857 6.857 4.588
Pt 6.857 4.588 6.857
Pt 9.126 6.857 6.857
Pt 1.845 4.114 4.114
Pt 4.114 6.383 4.114
Pt 4.114 4.114 6.383
Pt 4.588 6.857 6.857
Pt 6.857 9.126 6.857
Pt 6.857 6.857 9.126

Entry 6:
10
Lattice="6.556 0.000 0.000 0.000 6.556 0.000 0.000 0.000 2.934" Properties=species:S:1:pos:R:3 comment="MgB2Pt2 (PBE, optimized geometry)" space_group="P4/mbm (127)" e_above_lowest_polymorph_kj_per_mol_fu=17.8 pbc="T T T"
Mg 0.000 0.000 0.000
Mg 3.278 3.278 0.000
B 0.581 2.697 0.000
B 2.697 5.975 0.000
B 3.860 0.581 0.000
B 5.975 3.860 0.000
Pt 1.597 4.875 1.467
Pt 1.681 1.597 1.467
Pt 4.875 4.959 1.467
Pt 4.959 1.681 1.467